This record from the Alexandria database describes crystalline TlPbN2Cl at its relaxed geometry. The functional is GGA-PBE.

Formation energy from raw total energies, eV/atom: 1.04
Final energy, eV per cell: -19.38

Unit cell a=4.5632 b=4.5632 c=5.8762 alpha=90.00 beta=90.00 gamma=90.00
With the nearest neighbours (Å) after each atom.
Space group P4/mmm (No. 123)
Asymmetric unit:
Tl  0.0000  0.0000  0.0000  4 Cl 3.23
Pb  0.5000  0.5000  0.5000  4 N 2.28
N  0.0000  0.5000  0.5000  2 Pb 2.28
Cl  0.5000  0.5000  0.0000  2 Pb 2.94, 4 Tl 3.23

This record from the Alexandria database describes crystalline Pd2NCl at its relaxed geometry. The functional is GGA-PBE.

Formation energy from raw total energies, eV/atom: 0.34
Final energy, eV per cell: -76.74

Unit cell a=5.6869 b=5.6869 c=8.6935 alpha=90.00 beta=90.00 gamma=90.00
With the nearest neighbours (Å) after each atom.
Space group I-42d (No. 122)
Asymmetric unit:
Pd  0.1429  0.2500  0.1250  2 N 1.97
N  0.0000  0.0000  0.0000  4 Pd 1.97
Cl  0.0000  0.0000  0.5000  4 Pd 2.71

This record from the Alexandria database describes crystalline Pd3NCl at its relaxed geometry. The functional is GGA-PBE.

Formation energy from raw total energies, eV/atom: 0.38
Final energy, eV per cell: -23.85

Unit cell a=4.2246 b=4.2246 c=4.2246 alpha=90.00 beta=90.00 gamma=90.00
With the nearest neighbours (Å) after each atom.
Space group Pm-3m (No. 221)
Asymmetric unit:
Pd  0.0000  0.0000  0.5000  2 N 2.11
N  0.0000  0.0000  0.0000  6 Pd 2.11
Cl  0.5000  0.5000  0.5000  12 Pd 2.99

This record from the Alexandria database describes crystalline PdN2Cl at its relaxed geometry. The functional is GGA-PBE.

Formation energy from raw total energies, eV/atom: 1.93
Final energy, eV per cell: -47.91

Unit cell a=3.0875 b=3.0875 c=18.7319 alpha=90.00 beta=90.00 gamma=120.00
With the nearest neighbours (Å) after each atom.
Space group R-3m (No. 166, hexagonal axes)
Asymmetric unit:
Pd  0.0000  0.0000  0.0000  2 N 1.93
N  0.0000  0.0000  0.1032  1 Pd 1.93, 3 Cl 2.14
Cl  0.0000  0.0000  0.5000  6 N 2.14

This record from the Alexandria database describes crystalline PdN2Cl at its relaxed geometry. The functional is GGA-PBE.

Formation energy from raw total energies, eV/atom: 0.08
Final energy, eV per cell: -23.38

Unit cell a=3.7705 b=3.9408 c=6.7611 alpha=86.77 beta=80.92 gamma=89.46
With the nearest neighbours (Å) after each atom.
Space group P1 (No. 1)
Asymmetric unit:
Pd  0.0000  0.0000  0.0000  1 N 2.03
N  0.8290  0.3103  0.5870  1 N 1.12
N  0.8616  0.2030  0.7406  1 N 1.12
Cl  0.4291  0.8195  0.1843  2 Pd 2.28-2.40

This record from the Alexandria database describes crystalline PdN2Cl at its relaxed geometry. The functional is GGA-PBE.

Formation energy from raw total energies, eV/atom: 1.10
Final energy, eV per cell: -57.88

Unit cell a=3.2549 b=3.2549 c=17.1190 alpha=90.00 beta=90.00 gamma=120.00
With the nearest neighbours (Å) after each atom.
Space group R-3m (No. 166, hexagonal axes)
Asymmetric unit:
Pd  0.0000  0.0000  0.0000  6 N 2.10
N  0.0000  0.0000  0.3885  1 Cl 1.91, 3 Pd 2.10
Cl  0.0000  0.0000  0.5000  2 N 1.91